CaBeAl2 after structural relaxation. Source: Alexandria via LeMat-Bulk, functional GGA-PBE.

Cell lengths 3.411, 4.206, 5.574 Å; angles 90.00, 101.65, 90.00 degrees
Space group P2/m (No. 10)
Asymmetric unit:
Ca 0.000 0.000 0.000 x1
Be 0.500 0.000 0.500 x1
Al 0.370 0.500 0.704 x2

final energy	-3.21	eV per atom
magnetization	0.0	μB per formula unit

=====

CaBeAl2 after structural relaxation. Source: Alexandria via LeMat-Bulk, functional GGA-PBE.

Cell lengths 4.899, 4.899, 16.042 Å; angles 90.00, 90.00, 90.00 degrees
Space group I-42d (No. 122)
Asymmetric unit:
Ca 0.000 0.000 0.000 x4
Be 0.000 0.000 0.500 x4
Al 0.006 0.750 0.625 x8

final energy	-3.07	eV per atom
magnetization	0.0	μB per formula unit

=====

CaBeAl after structural relaxation. Source: Alexandria via LeMat-Bulk, functional GGA-PBE.

Cell lengths 4.3752, 4.3752, 3.6726 Å; angles 90.00, 90.00, 120.00 degrees
Space group P-6m2 (No. 187)
Asymmetric unit:
Ca 0.0000 0.0000 0.0000 x1
Be 0.3333 0.6667 0.5000 x1
Al 0.6667 0.3333 0.5000 x1

polymorph energy (0 for the lowest one)	0.000	eV/f.u.
final energy	-3.14	eV per atom
magnetization	0.0	μB per formula unit

=====

CaBeAl2 after structural relaxation. Source: Alexandria via LeMat-Bulk, functional GGA-PBE.

Cell lengths 4.0688, 4.0688, 16.9458 Å; angles 90.00, 90.00, 120.00 degrees
Space group R3m (No. 160, hexagonal axes)
Asymmetric unit:
Ca 0.0000 0.0000 0.0000 x3
Be 0.0000 0.0000 0.8110 x3
Al 0.0000 0.0000 0.2058 x3
Al 0.0000 0.0000 0.4587 x3

final energy	-3.36	eV per atom
magnetization	0.0	μB per formula unit

=====

CaBeAl4 after structural relaxation. Source: Alexandria via LeMat-Bulk, functional GGA-PBE.

Cell lengths 7.705, 7.705, 7.705 Å; angles 90.00, 90.00, 90.00 degrees
Space group F-43m (No. 216)
Asymmetric unit:
Ca 0.000 0.000 0.000 x4
Be 0.250 0.250 0.250 x4
Al 0.125 0.125 0.625 x16

final energy	-3.25	eV per atom
magnetization	0.0	μB per formula unit

=====

CaBeAl2 after structural relaxation. Source: Alexandria via LeMat-Bulk, functional GGA-PBE.

Cell lengths 3.310, 4.137, 5.940 Å; angles 90.00, 105.96, 90.00 degrees
Space group Pm (No. 6)
Asymmetric unit:
Ca 0.000 0.000 0.000 x1
Be 0.368 0.500 0.733 x1
Al 0.270 0.000 0.534 x1
Al 0.691 0.500 0.378 x1

final energy	-3.21	eV per atom
magnetization	0.0	μB per formula unit

=====

CaBeAl after structural relaxation. Source: Alexandria via LeMat-Bulk, functional GGA-PBE.

Cell lengths 5.4817, 5.4817, 39.1357 Å; angles 90.00, 90.00, 120.00 degrees
Space group R-3m (No. 166, hexagonal axes)
Asymmetric unit:
Ca 0.0000 0.0000 0.0391 x6
Ca 0.0000 0.0000 0.1824 x6
Ca 0.0000 0.0000 0.2682 x6
Be 0.0000 0.0000 0.3785 x6
Be 0.0000 0.0000 0.5000 x3
Be 0.0000 0.5000 0.0000 x9
Al 0.0017 0.5008 0.2234 x18

polymorph energy (0 for the lowest one)	0.017	eV/f.u.
final energy	-3.14	eV per atom
magnetization	0.0	μB per formula unit

=====

CaBeAl after structural relaxation. Source: Alexandria via LeMat-Bulk, functional GGA-PBE.

Cell lengths 3.190, 3.190, 11.194 Å; angles 90.00, 90.00, 90.00 degrees
Space group I4mm (No. 107)
Asymmetric unit:
Ca 0.000 0.000 0.000 x2
Be 0.000 0.000 0.686 x2
Al 0.000 0.000 0.292 x2

polymorph energy (0 for the lowest one)	0.388	eV/f.u.
final energy	-3.01	eV per atom
magnetization	0.0	μB per formula unit

=====

CaBeAl2 after structural relaxation. Source: Alexandria via LeMat-Bulk, functional GGA-PBE.

Cell lengths 3.1476, 3.1476, 27.1539 Å; angles 90.00, 90.00, 120.00 degrees
Space group R3m (No. 160, hexagonal axes)
Asymmetric unit:
Ca 0.0000 0.0000 0.0000 x3
Be 0.0000 0.0000 0.7525 x3
Al 0.0000 0.0000 0.2354 x3
Al 0.0000 0.0000 0.4849 x3

final energy	-2.91	eV per atom
magnetization	0.0	μB per formula unit

=====

CaBe2Al2 after structural relaxation. Source: Alexandria via LeMat-Bulk, functional GGA-PBE.

Cell lengths 7.572, 7.572, 2.665 Å; angles 90.00, 90.00, 90.00 degrees
Space group P4/mbm (No. 127)
Asymmetric unit:
Ca 0.000 0.000 0.000 x2
Be 0.162 0.338 0.500 x4
Al 0.130 0.630 0.000 x4

polymorph energy (0 for the lowest one)	0.845	eV/f.u.
final energy	-3.20	eV per atom
magnetization	0.0	μB per formula unit

=====

CaBeAl2 after structural relaxation. Source: Alexandria via LeMat-Bulk, functional GGA-PBE.

Cell lengths 4.0522, 4.0522, 17.1791 Å; angles 90.00, 90.00, 120.00 degrees
Space group R-3m (No. 166, hexagonal axes)
Asymmetric unit:
Ca 0.0000 0.0000 0.0000 x3
Be 0.0000 0.0000 0.5000 x3
Al 0.0000 0.0000 0.2075 x6

final energy	-3.36	eV per atom
magnetization	0.0	μB per formula unit

=====

CaBe2Al2 after structural relaxation. Source: Alexandria via LeMat-Bulk, functional GGA-PBE.

Cell lengths 4.114, 4.114, 10.129 Å; angles 90.00, 90.00, 90.00 degrees
Space group I4/mmm (No. 139)
Asymmetric unit:
Ca 0.000 0.000 0.000 x2
Be 0.000 0.500 0.250 x4
Al 0.000 0.000 0.370 x4

polymorph energy (0 for the lowest one)	0.000	eV/f.u.
final energy	-3.37	eV per atom
magnetization	0.0	μB per formula unit

=====

Calculated formation energy from the elements (kJ/mol of atoms), listed in the same order as above: 9.1, 22.3, 1.4, -5.1, 19.6, 8.9, 1.9, 13.8, 38.2, 18.3, -5.3, 2.0